# 1
A relaxed TlFeBi2Mo crystal, computed with PBE-GGA.

## Properties
**ΔH_f (0 K)**: 1085 meV per atom
**Total DFT energy (no corrections)**: -24.0 eV per cell
**Volume**: 131.0 Å³ per cell
**SG**: No. 123

abc: 5.090 5.090 5.056
angles: 90.00 90.00 90.00
Positions (direct):
Tl  0.000  0.000  0.000
Fe  0.000  0.000  0.500
Bi  0.000  0.500  0.500
Bi  0.500  0.000  0.500
Mo  0.500  0.500  0.000

# 2
A relaxed SiHgSe crystal, computed with PBE-GGA.

## Properties
**Distance to the lowest polymorph of the same formula**: 1.16 eV per formula unit
**Total DFT energy (no corrections)**: -8.2 eV per cell
**Volume**: 73.8 Å³ per cell
**Formation energy from raw total energies**: 0.330 eV/atom
**SG**: No. 216

abc: 4.707 4.707 4.707
angles: 60.00 60.00 60.00
Positions (direct):
Si  0.000  0.000  0.000
Hg  0.750  0.750  0.750
Se  0.250  0.250  0.250

- What is the formula in the first record?
  TlFeBi2Mo